[1]
## NaSr2LiAu (PBE)

Data for NaSr2LiAu after structural relaxation.

Values from the calculation:
electronic total energy = -2.2485 eV/atom
relative energy among the computed polymorphs = 0 meV per atom
DFT formation energy = -0.274 eV/atom
total magnetization = 0.0000 μB/atom

Cell: 6.161 6.161 5.097 Å, 90.00 90.00 90.00°
Element x y z (fractional)
Sr 0.000 0.500 0.000
Sr 0.500 0.000 0.000
Li 0.000 0.000 0.500
Au 0.000 0.000 0.000
Na 0.500 0.500 0.500

[2]
## NaSr2LiAu (PBE)

Data for NaSr2LiAu after structural relaxation.

Values from the calculation:
electronic total energy = -2.1589 eV/atom
relative energy among the computed polymorphs = 90 meV per atom
DFT formation energy = -0.184 eV/atom
total magnetization = 0.0000 μB/atom

Cell: 6.081 6.081 5.626 Å, 90.00 90.00 90.00°
Element x y z (fractional)
Sr 0.000 0.500 0.000
Sr 0.500 0.000 0.000
Li 0.500 0.500 0.500
Au 0.000 0.000 0.000
Na 0.000 0.000 0.500

[3]
## NaLiTe2Au (PBE)

Data for NaLiTe2Au after structural relaxation.

Values from the calculation:
formation energy from raw total energies = -0.55 eV per atom
electronic total energy = -3.1067 eV/atom
total magnetization = 0.0000 μB/atom

Cell: 6.944 6.557 6.784 Å, 114.52 90.00 90.00°
Element x y z (fractional)
Na 0.123 0.500 0.750
Na 0.877 0.500 0.250
Li 0.397 0.000 0.250
Li 0.603 0.000 0.750
Te 0.707 0.737 0.981
Te 0.707 0.263 0.519
Te 0.293 0.737 0.481
Te 0.293 0.263 0.019
Au 0.000 0.000 0.000
Au 0.000 0.000 0.500

[4]
## Na2LiTiAu (PBE)

Data for Na2LiTiAu after structural relaxation.

Values from the calculation:
electronic total energy = -2.5604 eV/atom
DFT formation energy = 0.584 eV/atom
total magnetization = 0.0001 μB/atom

Cell: 4.556 4.862 4.556 Å, 90.00 90.00 90.00°
Element x y z (fractional)
Na 0.000 0.000 0.500
Na 0.500 0.000 0.000
Li 0.000 0.000 0.000
Au 0.000 0.500 0.000
Ti 0.500 0.500 0.500

[5]
## NaLi2TlAu (PBE)

Data for NaLi2TlAu after structural relaxation.

Values from the calculation:
electronic total energy = -2.2766 eV/atom
DFT formation energy = -0.119 eV/atom
total magnetization = 0.0000 μB/atom

Cell: 4.962 4.962 5.703 Å, 90.00 90.00 90.00°
Element x y z (fractional)
Na 0.500 0.500 0.500
Tl 0.000 0.000 0.500
Au 0.000 0.000 0.000
Li 0.000 0.500 0.000
Li 0.500 0.000 0.000

[6]
## NaLiTlAu (PBE)

Data for NaLiTlAu after structural relaxation.

Values from the calculation:
electronic total energy = -2.4698 eV/atom
relative energy among the computed polymorphs = 61 meV per atom
DFT formation energy = -0.251 eV/atom
total magnetization = 0.0000 μB/atom

Cell: 4.922 4.922 4.922 Å, 60.00 60.00 60.00°
Element x y z (fractional)
Na 0.500 0.500 0.500
Tl 0.750 0.750 0.750
Au 0.000 0.000 0.000
Li 0.250 0.250 0.250

[7]
## NaLiTlAu (PBE)

Data for NaLiTlAu after structural relaxation.

Values from the calculation:
electronic total energy = -2.5307 eV/atom
relative energy among the computed polymorphs = 0 meV per atom
DFT formation energy = -0.312 eV/atom
total magnetization = 0.0000 μB/atom

Cell: 3.403 3.403 7.461 Å, 90.00 90.00 90.00°
Element x y z (fractional)
Na 0.000 0.000 0.107
Li 0.000 0.000 0.526
Tl 0.500 0.500 0.782
Au 0.500 0.500 0.369

[8]
## NaLiTl2Au (PBE)

Data for NaLiTl2Au after structural relaxation.

Values from the calculation:
electronic total energy = -2.2847 eV/atom
DFT formation energy = -0.036 eV/atom
total magnetization = 0.0000 μB/atom

Cell: 5.596 5.596 4.957 Å, 90.00 90.00 90.00°
Element x y z (fractional)
Na 0.500 0.500 0.500
Tl 0.000 0.500 0.000
Tl 0.500 0.000 0.000
Au 0.000 0.000 0.000
Li 0.000 0.000 0.500

[9]
## NaLiZnAu (PBE)

Data for NaLiZnAu after structural relaxation.

Values from the calculation:
electronic total energy = -2.2153 eV/atom
relative energy among the computed polymorphs = 0 meV per atom
DFT formation energy = -0.269 eV/atom
total magnetization = 0.0000 μB/atom

Cell: 4.629 4.629 4.629 Å, 60.00 60.00 60.00°
Element x y z (fractional)
Na 0.750 0.750 0.750
Zn 0.000 0.000 0.000
Au 0.250 0.250 0.250
Li 0.500 0.500 0.500

[10]
## NaLiZnAu (PBE)

Data for NaLiZnAu after structural relaxation.

Values from the calculation:
electronic total energy = -2.1739 eV/atom
relative energy among the computed polymorphs = 41 meV per atom
DFT formation energy = -0.228 eV/atom
total magnetization = 0.0000 μB/atom

Cell: 4.490 4.490 5.786 Å, 67.17 67.17 60.00°
Element x y z (fractional)
Na 0.802 0.802 0.593
Li 0.322 0.322 0.034
Zn 0.608 0.608 0.175
Au 0.993 0.993 0.020

[11]
## Na2LiZn3Au12 (PBE)

Data for Na2LiZn3Au12 after structural relaxation.

Values from the calculation:
electronic total energy = -2.6739 eV/atom
DFT formation energy = -0.024 eV/atom
total magnetization = 0.0000 μB/atom

Cell: 8.083 8.083 8.083 Å, 61.79 61.79 61.79°
Element x y z (fractional)
Na 0.623 0.623 0.623
Na 0.377 0.377 0.377
Li 0.000 0.000 0.000
Zn 0.500 0.000 0.000
Zn 0.000 0.500 0.000
Zn 0.000 0.000 0.500
Au 0.380 0.380 0.874
Au 0.866 0.866 0.376
Au 0.376 0.866 0.866
Au 0.874 0.380 0.380
Au 0.866 0.376 0.866
Au 0.380 0.874 0.380
Au 0.620 0.620 0.126
Au 0.134 0.134 0.624
Au 0.624 0.134 0.134
Au 0.126 0.620 0.620
Au 0.134 0.624 0.134
Au 0.620 0.126 0.620

[12]
## NaLi2ZnAu (PBE)

Data for NaLi2ZnAu after structural relaxation.

Values from the calculation:
electronic total energy = -2.0913 eV/atom
DFT formation energy = -0.152 eV/atom
total magnetization = 0.0000 μB/atom

Cell: 4.955 4.955 4.979 Å, 90.00 90.00 90.00°
Element x y z (fractional)
Na 0.500 0.500 0.500
Zn 0.000 0.000 0.500
Au 0.000 0.000 0.000
Li 0.000 0.500 0.000
Li 0.500 0.000 0.000

[13]
## LiNbAu (PBE)

Data for LiNbAu after structural relaxation.

Values from the calculation:
electronic total energy = -5.2142 eV/atom
relative energy among the computed polymorphs = 107 meV per atom
DFT formation energy = -0.127 eV/atom
total magnetization = 0.0000 μB/atom

Cell: 2.778 5.033 7.555 Å, 94.39 99.83 99.50°
Element x y z (fractional)
Li 0.786 0.978 0.738
Li 0.732 0.579 0.448
Nb 0.657 0.237 0.101
Nb 0.150 0.734 0.080
Au 0.196 0.083 0.422
Au 0.362 0.461 0.760